Tb2HoIn2Hg2: relaxed, GGA-PBE.

a b c (Å): 4.9401 4.9401 26.5632
angles (deg): 90.00 90.00 120.00
Space group R-3m (No. 166, hexagonal axes)
Unique sites:
Tb: 0.0000 0.0000 0.1304 [6 per cell]
Ho: 0.0000 0.0000 0.0000 [3 per cell]
In: 0.0000 0.0000 0.2702 [6 per cell]
Hg: 0.0000 0.0000 0.4244 [6 per cell]

Calculated values
E: -3.0991 eV/atom
theoretical density: 9.88 Mg/m³
crystal system: trigonal
DFT formation energy: -0.25 eV/atom
D(E_F): 12.33 states/eV per cell